# 1
Entry from Alexandria via LeMat-Bulk: a relaxed structure of NdY4Tm4 (PBE).

Structure (POSCAR):
```
NdY4Tm4
1.0
4.997 0.000 0.000
2.498 7.536 0.000
2.498 0.000 7.536
Tm Y Nd
4 4 1
direct
0.667 0.000 0.666 Tm
0.333 0.000 0.334 Tm
0.333 0.334 0.000 Tm
0.667 0.666 0.000 Tm
0.000 0.668 0.332 Y
0.000 0.332 0.668 Y
0.668 0.332 0.332 Y
0.332 0.668 0.668 Y
0.000 0.000 0.000 Nd
```

Calculated values
- Energy above the lowest structure with this stoichiometry: 28 meV per atom
- ΔE_f: 2.67 kJ/mol of atoms
- M_tot: 0.000 μB/atom

# 2
Entry from Alexandria via LeMat-Bulk: a relaxed structure of Nd4Y7Tm (PBE).

Structure (POSCAR):
```
Nd4Y7Tm
1.0
-4.404 1.818 4.809
0.012 -1.733 6.544
4.263 9.204 7.988
Y Nd Tm
7 4 1
direct
0.367 0.367 0.492 Y
0.789 0.789 0.923 Y
0.211 0.211 0.077 Y
0.926 0.926 0.301 Y
0.074 0.074 0.699 Y
0.500 0.500 0.000 Y
0.633 0.633 0.508 Y
0.209 0.209 0.342 Nd
0.642 0.642 0.223 Nd
0.358 0.358 0.777 Nd
0.791 0.791 0.658 Nd
0.000 0.000 0.000 Tm
```

Calculated values
- Energy above the lowest structure with this stoichiometry: 49 meV per atom
- ΔE_f: 26.39 kJ/mol of atoms
- M_tot: 0.032 μB/atom

# 3
Entry from Alexandria via LeMat-Bulk: a relaxed structure of NdY7Tm3 (PBE).

Structure (POSCAR):
```
NdY7Tm3
1.0
5.782 -0.149 -0.191
-2.665 7.939 1.007
-2.665 -0.947 7.947
Tm Y Nd
3 7 1
direct
0.000 0.205 0.795 Tm
0.000 0.795 0.205 Tm
0.500 0.000 0.000 Tm
0.206 0.205 0.205 Y
0.000 0.500 0.500 Y
0.299 0.601 0.998 Y
0.794 0.795 0.795 Y
0.701 0.399 0.002 Y
0.701 0.002 0.399 Y
0.299 0.998 0.601 Y
0.500 0.500 0.500 Nd
```

Calculated values
- Energy above the lowest structure with this stoichiometry: 113 meV per atom
- ΔE_f: 24.82 kJ/mol of atoms
- M_tot: 0.008 μB/atom